A geometry-optimized UPO4F2 structure. Source: Alexandria via LeMat-Bulk, functional PBE-GGA.

Summary:
final energy = -126.96 eV for the cell shown

a b c (Å): 5.6889 6.9249 7.2870
angles (deg): 90.00 90.00 90.00
Atoms (fractional coordinates):
1 U 0.2500 0.2500 0.2353
2 U 0.7500 0.7500 0.7647
3 P 0.2500 0.7500 0.0930
4 P 0.7500 0.2500 0.9070
5 O 0.0268 0.7500 0.9696
6 O 0.2500 0.5668 0.2125
7 O 0.2500 0.9332 0.2125
8 O 0.4732 0.7500 0.9696
9 O 0.5268 0.2500 0.0304
10 O 0.7500 0.0668 0.7875
11 O 0.7500 0.4332 0.7875
12 O 0.9732 0.2500 0.0304
13 F 0.0006 0.2500 0.4343
14 F 0.4994 0.2500 0.4343
15 F 0.5006 0.7500 0.5657
16 F 0.9994 0.7500 0.5657